Entry from Alexandria: a relaxed structure of Tc2Au (PBE). Values from VASP.

Quantum ESPRESSO input file:
```
&SYSTEM
  ibrav = 0, nat = 12, ntyp = 2
/
ATOMIC_SPECIES
Tc 98.00 Tc.upf
Au 196.97 Au.upf
CELL_PARAMETERS angstrom
6.189 0.000 0.000
0.000 6.189 0.000
0.000 0.000 6.189
ATOMIC_POSITIONS angstrom
Tc 0.623 0.623 0.623
Tc 0.623 2.472 3.717
Tc 2.472 3.717 0.623
Tc 2.472 5.566 3.717
Tc 3.717 0.623 2.472
Tc 3.717 2.472 5.566
Tc 5.566 3.717 2.472
Tc 5.566 5.566 5.566
Au 0.000 0.000 3.095
Au 0.000 3.095 0.000
Au 3.095 0.000 0.000
Au 3.095 3.095 3.095
```

Computed properties:
DOS at the Fermi energy = 4.237 states/eV/f.u.
Symmetry = Pa-3
Raw total energy = -20.57 eV/f.u.

***

Entry from Alexandria: a relaxed structure of Dy2CuSi4Rh3 (PBE). Values from VASP.

Quantum ESPRESSO input file:
```
&SYSTEM
  ibrav = 0, nat = 10, ntyp = 4
/
ATOMIC_SPECIES
Dy 162.50 Dy.upf
Cu 63.55 Cu.upf
Si 28.09 Si.upf
Rh 102.91 Rh.upf
CELL_PARAMETERS angstrom
4.104 0.000 0.000
0.000 4.104 0.000
0.000 0.000 9.872
ATOMIC_POSITIONS angstrom
Dy 0.000 2.052 2.430
Dy 2.052 0.000 7.443
Cu 0.000 0.000 4.936
Si 0.000 0.000 0.000
Si 0.000 2.052 6.239
Si 2.052 0.000 3.633
Si 2.052 2.052 0.000
Rh 0.000 2.052 8.613
Rh 2.052 0.000 1.260
Rh 2.052 2.052 4.936
```

Computed properties:
DOS at the Fermi energy = 5.919 states/eV/f.u.
Symmetry = P-4m2
Formation energy from raw total energies = -0.900 eV/atom

***

Entry from Alexandria: a relaxed structure of Ac3Hg4Au2 (PBE). Values from VASP.

Quantum ESPRESSO input file:
```
&SYSTEM
  ibrav = 0, nat = 9, ntyp = 3
/
ATOMIC_SPECIES
Ac 227.00 Ac.upf
Hg 200.59 Hg.upf
Au 196.97 Au.upf
CELL_PARAMETERS angstrom
5.869 -2.492 0.000
5.869 2.492 0.000
-3.963 0.000 8.732
ATOMIC_POSITIONS angstrom
Ac 0.000 0.000 0.000
Ac 2.480 0.000 3.001
Ac 5.294 0.000 5.731
Hg -0.991 0.000 3.276
Hg -0.500 0.000 8.166
Hg 8.274 0.000 0.567
Hg 8.766 0.000 5.457
Au 1.740 0.000 6.330
Au 6.035 0.000 2.402
```

Computed properties:
DOS at the Fermi energy = 5.423 states/eV/f.u.
Symmetry = C2/m
Raw total energy = -25.44 eV/f.u.

***

Entry from Alexandria: a relaxed structure of Re2TcBr (PBE). Values from VASP.

Quantum ESPRESSO input file:
```
&SYSTEM
  ibrav = 0, nat = 12, ntyp = 3
/
ATOMIC_SPECIES
Re 186.21 Re.upf
Tc 98.00 Tc.upf
Br 79.90 Br.upf
CELL_PARAMETERS angstrom
2.893 0.000 0.000
-1.446 2.505 0.000
0.000 0.000 26.127
ATOMIC_POSITIONS angstrom
Re 0.000 0.000 0.000
Re 0.000 0.000 6.598
Re 0.000 1.670 17.418
Re 0.000 1.670 24.016
Re 1.446 0.835 8.709
Re 1.446 0.835 15.307
Tc 0.000 0.000 19.567
Tc 0.000 1.670 10.858
Tc 1.446 0.835 2.149
Br 0.000 0.000 12.985
Br 0.000 1.670 4.276
Br 1.446 0.835 21.694
```

Computed properties:
DOS at the Fermi energy = 5.272 states/eV/f.u.
Symmetry = R3m
Formation energy from raw total energies = 0.566 eV/atom

***

Entry from Alexandria: a relaxed structure of CaSmAu4 (PBE). Values from VASP.

Quantum ESPRESSO input file:
```
&SYSTEM
  ibrav = 0, nat = 6, ntyp = 3
/
ATOMIC_SPECIES
Ca 40.08 Ca.upf
Sm 150.36 Sm.upf
Au 196.97 Au.upf
CELL_PARAMETERS angstrom
0.000 4.037 4.037
4.037 0.000 4.037
4.037 4.037 0.000
ATOMIC_POSITIONS angstrom
Ca 0.000 0.000 0.000
Sm 6.055 6.055 6.055
Au 3.024 3.024 3.024
Au 5.049 5.049 3.024
Au 5.049 3.024 5.049
Au 3.024 5.049 5.049
```

Computed properties:
DOS at the Fermi energy = 7.519 states/eV/f.u.
Symmetry = F-43m
Raw total energy = -23.16 eV/f.u.

***

Entry from Alexandria: a relaxed structure of Pu3ZrTa2N6 (PBE). Values from VASP.

Quantum ESPRESSO input file:
```
&SYSTEM
  ibrav = 0, nat = 12, ntyp = 4
/
ATOMIC_SPECIES
Pu 244.00 Pu.upf
Zr 91.22 Zr.upf
Ta 180.95 Ta.upf
N 14.01 N.upf
CELL_PARAMETERS angstrom
2.837 -4.916 0.000
2.837 4.916 0.000
-1.896 0.000 5.489
ATOMIC_POSITIONS angstrom
Pu 0.000 0.000 0.000
Pu 2.837 1.625 0.000
Pu 2.837 -1.625 0.000
Zr 1.890 0.000 2.745
Ta 1.890 3.274 2.745
Ta 1.890 -3.274 2.745
N 0.918 1.683 1.527
N -0.057 0.000 3.951
N 0.918 -1.683 1.527
N 2.861 1.683 3.962
N 3.836 0.000 1.538
N 2.861 -1.683 3.962
```

Computed properties:
DOS at the Fermi energy = 18.937 states/eV/f.u.
Symmetry = C2/m
Formation energy from raw total energies = -1.335 eV/atom

***

Entry from Alexandria: a relaxed structure of HfMnHg2Br (PBE). Values from VASP.

Quantum ESPRESSO input file:
```
&SYSTEM
  ibrav = 0, nat = 5, ntyp = 4
/
ATOMIC_SPECIES
Hf 178.49 Hf.upf
Mn 54.94 Mn.upf
Hg 200.59 Hg.upf
Br 79.90 Br.upf
CELL_PARAMETERS angstrom
5.183 0.000 0.000
0.000 5.183 0.000
0.000 0.000 4.702
ATOMIC_POSITIONS angstrom
Hf 0.000 0.000 0.000
Mn 0.000 0.000 2.351
Hg 0.000 2.592 2.351
Hg 2.592 0.000 2.351
Br 2.592 2.592 0.000
```

Computed properties:
DOS at the Fermi energy = 1.868 states/eV/f.u.
Symmetry = P4/mmm
Formation energy from raw total energies = 0.357 eV/atom

***

Entry from Alexandria: a relaxed structure of NaAcPt2O8 (PBE). Values from VASP.

Quantum ESPRESSO input file:
```
&SYSTEM
  ibrav = 0, nat = 12, ntyp = 4
/
ATOMIC_SPECIES
Na 22.99 Na.upf
Ac 227.00 Ac.upf
Pt 195.08 Pt.upf
O 16.00 O.upf
CELL_PARAMETERS angstrom
5.418 0.000 0.000
-2.709 4.692 0.000
0.000 0.000 6.063
ATOMIC_POSITIONS angstrom
Na 0.000 0.000 0.000
Ac 0.000 0.000 3.031
Pt 0.000 3.128 5.751
Pt 2.709 1.564 0.311
O -0.745 1.783 0.986
O -0.792 4.446 0.986
O 0.000 3.128 3.745
O 1.171 1.537 5.077
O 1.537 3.155 0.986
O 2.709 1.564 2.317
O 3.501 0.246 5.077
O 3.454 2.909 5.077
```

Computed properties:
DOS at the Fermi energy = 1.690 states/eV/f.u.
Symmetry = P-3
Formation energy from raw total energies = -0.709 eV/atom